The following is a DFT calculation (GGA-PBE) of TbPaPd14 after structural relaxation.

total magnetic moment = 0.00 μB/cell
electronic total energy = -94.21 eV per formula unit
ΔE_f = -461 meV per atom

Cell and atoms, written as CIF:
```
data_TbPaPd14
_chemical_formula_sum 'Tb1 Pa1 Pd14'
_space_group_name_H-M_alt 'P 1'
_space_group_IT_number 1
_space_group_name_Hall 'P 1'
_cell_length_a 5.822
_cell_length_b 5.822
_cell_length_c 7.830
_cell_angle_alpha 90.00
_cell_angle_beta 90.00
_cell_angle_gamma 90.00
loop_
_atom_site_label
_atom_site_fract_x
_atom_site_fract_y
_atom_site_fract_z
Tb1 0.000 0.000 0.000
Pa1 0.500 0.500 0.000
Pd1 0.000 0.000 0.500
Pd2 0.000 0.500 0.000
Pd3 0.000 0.500 0.500
Pd4 0.254 0.254 0.255
Pd5 0.254 0.254 0.745
Pd6 0.254 0.746 0.255
Pd7 0.254 0.746 0.745
Pd8 0.500 0.000 0.000
Pd9 0.500 0.000 0.500
Pd10 0.500 0.500 0.500
Pd11 0.746 0.254 0.255
Pd12 0.746 0.254 0.745
Pd13 0.746 0.746 0.255
Pd14 0.746 0.746 0.745
```